Entry 1:
VASP calculation (GGA-PBE) on a relaxed structure of RbMnInTe3.

## Properties
Formation energy from raw total energies   -0.4165 eV per atom
Magnetization   7.14 Bohr magnetons per cell
Space group   P2_1/m, No. 11
VASP energy   -49.6 eV for the cell shown

Lattice parameters (Å, degrees): 4.1267 9.5657 10.9926 109.29 90.00 90.00
Site moments in Bohr magnetons follow the coordinates.
Fractional coordinates of all 12 atoms:
Rb1 0.2500 0.2153 0.2594  0.00
Rb2 0.7500 0.7847 0.7406  0.00
Mn1 0.2500 0.6478 0.1548  3.59
Mn2 0.7500 0.3522 0.8452  3.59
In1 0.2500 0.1204 0.5720  0.01
In2 0.7500 0.8796 0.4280  0.01
Te1 0.7500 0.8526 0.1578  -0.03
Te2 0.2500 0.1474 0.8422  -0.03
Te3 0.2500 0.6485 0.4063  -0.01
Te4 0.7500 0.3515 0.5937  -0.01
Te5 0.7500 0.4393 0.1071  -0.17
Te6 0.2500 0.5607 0.8929  -0.17

---

Entry 2:
VASP calculation (GGA-PBE) on a relaxed structure of InReHg.

## Properties
Magnetization   0.07 Bohr magnetons per cell
Space group   Fmm2, No. 42
Formation energy   769.2 meV per atom
VASP energy   -13.2 eV for the cell shown

Lattice parameters (Å, degrees): 9.2262 8.9969 2.8834 85.43 76.42 18.15
Site moments in Bohr magnetons follow the coordinates.
Fractional coordinates of all 3 atoms:
Hg1 0.0193 0.0193 0.9807  0.00
In1 0.3122 0.3122 0.6878  0.00
Re1 0.6685 0.6685 0.3315  0.06

---

Entry 3:
VASP calculation (GGA-PBE) on a relaxed structure of Fe2SiTcH.

## Properties
Magnetization   4.25 Bohr magnetons per cell
Space group   P4/mmm, No. 123
VASP energy   -36.5 eV for the cell shown

Lattice parameters (Å, degrees): 3.6239 3.6239 3.9250 90.00 90.00 90.00
Site moments in Bohr magnetons follow the coordinates.
Fractional coordinates of all 5 atoms:
H1 0.0000 0.0000 0.0000  -0.01
Si1 0.5000 0.5000 0.5000  -0.04
Tc1 0.0000 0.0000 0.5000  0.31
Fe1 0.0000 0.5000 0.0000  1.99
Fe2 0.5000 0.0000 0.0000  1.99

---

Entry 4:
VASP calculation (GGA-PBE) on a relaxed structure of ReSbCl2.

## Properties
Formation energy from raw total energies   0.2104 eV per atom
Magnetization   0.00 Bohr magnetons per cell
Space group   R3m, No. 160
VASP energy   -19.4 eV for the cell shown

Lattice parameters (Å, degrees): 9.2050 9.2050 9.2050 21.43 21.43 21.43
Fractional coordinates of all 4 atoms:
Re1 0.4945 0.4945 0.4945
Cl1 0.0191 0.0191 0.0191
Cl2 0.2249 0.2249 0.2249
Sb1 0.7614 0.7614 0.7614

---

Entry 5:
VASP calculation (GGA-PBE) on a relaxed structure of NbSiPd2F.

## Properties
Formation energy from raw total energies   0.2147 eV per atom
Magnetization   1.71 Bohr magnetons per cell
Space group   P4/mmm, No. 123
VASP energy   -26.7 eV for the cell shown

Lattice parameters (Å, degrees): 4.4247 4.9922 4.4247 90.00 90.00 90.00
Site moments in Bohr magnetons follow the coordinates.
Fractional coordinates of all 5 atoms:
Nb1 0.0000 0.5000 0.0000  1.26
Si1 0.0000 0.0000 0.0000  -0.02
Pd1 0.0000 0.0000 0.5000  0.09
Pd2 0.5000 0.0000 0.0000  0.08
F1 0.5000 0.5000 0.5000  0.01

---

Entry 6:
VASP calculation (GGA-PBE) on a relaxed structure of YMo2Os.

## Properties
Magnetization   0.00 Bohr magnetons per cell
Space group   C2/m, No. 12
Formation energy   351.4 meV per atom
VASP energy   -38.0 eV for the cell shown

Lattice parameters (Å, degrees): 5.3334 5.3957 2.8704 80.41 78.40 116.15
Fractional coordinates of all 4 atoms:
Mo1 0.0000 0.0000 0.0000
Mo2 0.5000 0.0000 0.5000
Os1 0.0000 0.5000 0.5000
Y1 0.5000 0.5000 0.0000

---

Entry 7:
VASP calculation (GGA-PBE) on a relaxed structure of TlCu2As2.

## Properties
Magnetization   0.00 Bohr magnetons per cell
Space group   P-1, No. 2
Formation energy   27.7 meV per atom
VASP energy   -39.4 eV for the cell shown

Lattice parameters (Å, degrees): 6.0025 5.7605 6.8196 85.10 67.94 67.45
Fractional coordinates of all 10 atoms:
Tl1 0.8795 0.7501 0.2112
Tl2 0.1205 0.2499 0.7888
Cu1 0.4441 0.7195 0.0740
Cu2 0.7732 0.2175 0.5234
Cu3 0.5559 0.2805 0.9260
Cu4 0.2268 0.7825 0.4766
As1 0.4852 0.3492 0.3020
As2 0.7955 0.8531 0.7496
As3 0.2044 0.1469 0.2504
As4 0.5148 0.6508 0.6980

---

Entry 8:
VASP calculation (GGA-PBE) on a relaxed structure of NbCu2Pt2.

## Properties
Magnetization   0.04 Bohr magnetons per cell
Space group   P4/mbm, No. 127
Formation energy   -201.5 meV per atom
VASP energy   -62.7 eV for the cell shown

Lattice parameters (Å, degrees): 7.1966 7.1966 2.8552 90.00 90.00 90.00
Fractional coordinates of all 10 atoms:
Nb1 0.0000 0.0000 0.0000
Nb2 0.5000 0.5000 0.0000
Cu1 0.3818 0.8818 0.0000
Cu2 0.8818 0.6182 0.0000
Cu3 0.6182 0.1182 0.0000
Cu4 0.1182 0.3818 0.0000
Pt1 0.1793 0.6793 0.5000
Pt2 0.6793 0.8207 0.5000
Pt3 0.8207 0.3207 0.5000
Pt4 0.3207 0.1793 0.5000